The following is a PBEsol calculation of LaBePd2 after structural relaxation, from the Alexandria database.

abc: 4.798 4.798 14.558
angles: 90.00 90.00 90.00
Atoms (fractional coordinates):
La: 0.000 0.000 0.000
La: 0.000 0.500 0.250
La: 0.500 0.000 0.750
La: 0.500 0.500 0.500
Be: 0.000 0.000 0.500
Be: 0.000 0.500 0.750
Be: 0.500 0.000 0.250
Be: 0.500 0.500 0.000
Pd: 0.092 0.250 0.625
Pd: 0.250 0.592 0.875
Pd: 0.250 0.908 0.375
Pd: 0.408 0.250 0.125
Pd: 0.592 0.750 0.125
Pd: 0.750 0.092 0.375
Pd: 0.750 0.408 0.875
Pd: 0.908 0.750 0.625

Computed properties:
DFT formation energy: -0.300 eV/atom
DOS at the Fermi energy: 10.18 states/eV per cell


The following is a PBEsol calculation of La2AsPt after structural relaxation, from the Alexandria database.

abc: 3.676 3.676 7.125
angles: 90.00 90.22 90.00
Atoms (fractional coordinates):
La: 0.001 0.000 0.250
La: 0.999 0.000 0.750
As: 0.500 0.500 0.500
Pt: 0.500 0.500 0.000

Computed properties:
DFT formation energy: -1.111 eV/atom
DOS at the Fermi energy: 1.85 states/eV per cell


The following is a PBEsol calculation of Li2MnFeB2O6 after structural relaxation, from the Alexandria database.

abc: 5.212 5.695 8.992
angles: 102.32 90.34 116.82
Atoms (fractional coordinates):
Li: 0.174 0.206 0.291
Li: 0.317 0.797 0.209
Li: 0.683 0.203 0.791
Li: 0.826 0.794 0.709
Mn: 0.297 0.745 0.549
Mn: 0.703 0.255 0.451
Fe: 0.184 0.215 0.960
Fe: 0.816 0.785 0.040
B: 0.205 0.241 0.628
B: 0.308 0.747 0.879
B: 0.692 0.253 0.121
B: 0.795 0.759 0.372
O: 0.045 0.202 0.751
O: 0.056 0.776 0.874
O: 0.117 0.311 0.505
O: 0.397 0.690 0.006
O: 0.448 0.199 0.623
O: 0.473 0.787 0.760
O: 0.527 0.213 0.240
O: 0.552 0.801 0.377
O: 0.603 0.310 0.994
O: 0.883 0.689 0.495
O: 0.944 0.224 0.126
O: 0.955 0.798 0.249

Computed properties:
DOS at the Fermi energy: 0.69 states/eV per cell
raw formation energy: -1.916 eV per atom


The following is a PBEsol calculation of Zn2Hg after structural relaxation, from the Alexandria database.

abc: 12.766 2.913 6.368
angles: 90.00 117.26 90.00
Atoms (fractional coordinates):
Zn: 0.163 0.000 0.491
Zn: 0.218 0.000 0.134
Zn: 0.282 0.500 0.866
Zn: 0.337 0.500 0.509
Zn: 0.663 0.500 0.491
Zn: 0.718 0.500 0.134
Zn: 0.782 0.000 0.866
Zn: 0.837 0.000 0.509
Hg: 0.034 0.500 0.783
Hg: 0.466 0.000 0.217
Hg: 0.534 0.000 0.783
Hg: 0.966 0.500 0.217

Computed properties:
DFT formation energy: 0.066 eV/atom
DOS at the Fermi energy: 3.13 states/eV per cell


The following is a PBEsol calculation of Ge3MoS after structural relaxation, from the Alexandria database.

abc: 4.824 4.824 4.824
angles: 90.00 90.00 90.00
Atoms (fractional coordinates):
Ge: 0.000 0.000 0.500
Ge: 0.000 0.500 0.000
Ge: 0.500 0.000 0.000
Mo: 0.000 0.000 0.000
S: 0.500 0.500 0.500

Computed properties:
DOS at the Fermi energy: 4.80 states/eV per cell
raw formation energy: 0.586 eV per atom


The following is a PBEsol calculation of LaTa2SbC after structural relaxation, from the Alexandria database.

abc: 5.099 5.099 4.099
angles: 90.00 90.00 90.00
Atoms (fractional coordinates):
La: 0.000 0.000 0.000
Ta: 0.000 0.500 0.000
Ta: 0.500 0.000 0.000
Sb: 0.500 0.500 0.500
C: 0.000 0.000 0.500

Computed properties:
DOS at the Fermi energy: 4.83 states/eV per cell
raw formation energy: 2.336 eV per atom